1.
LaCu2Os, optimized geometry, DFT PBE; energy of formation = 1.21 eV per formula unit; total energy = -5.79 eV per atom; calculated volume = 69.3 Å³/cell; density = 10.9 g/cm³
1.0
2.892 0.000 0.000
0.000 3.959 0.000
0.000 0.000 6.048
La Cu Os
1 2 1
direct
0.000 0.000 0.000
0.500 0.500 0.307
0.500 0.500 0.693
0.000 0.000 0.500

***

2.
LaCu2Os, optimized geometry, DFT PBE; energy of formation = 1.23 eV per formula unit; total energy = -5.78 eV per atom; calculated volume = 71.4 Å³/cell; density = 10.6 g/cm³
1.0
3.246 0.000 0.000
0.000 3.246 0.000
0.000 0.000 6.772
La Cu Os
1 2 1
direct
0.000 0.000 0.000
0.000 0.000 0.484
0.500 0.500 0.661
0.500 0.500 0.287

***

3.
LaCu2Os, optimized geometry, DFT PBE; energy of formation = 1.23 eV per formula unit; total energy = -5.78 eV per atom; calculated volume = 69.9 Å³/cell; density = 10.8 g/cm³
1.0
4.112 0.000 0.000
0.000 4.112 0.000
0.000 0.000 4.136
La Cu Os
1 2 1
direct
0.000 0.000 0.000
0.000 0.500 0.500
0.500 0.000 0.500
0.500 0.500 0.000

***

4.
La3CuOs, optimized geometry, DFT PBE; energy of formation = 0.72 eV per formula unit; total energy = -5.88 eV per atom; calculated volume = 173.2 Å³/cell; density = 6.4 g/cm³
1.0
5.575 0.000 0.000
0.000 5.575 0.000
0.000 0.000 5.575
La Cu Os
3 1 1
direct
0.000 0.000 0.500
0.000 0.500 0.000
0.500 0.000 0.000
0.500 0.500 0.500
0.000 0.000 0.000